The following is a DFT calculation (GGA+U) of GeP2WO after structural relaxation.

Calculated values
* energy relative to the lowest polymorph listed for this composition: 508.8 meV/atom
* total DFT energy (no corrections): -0.1840 Ha/atom
* ρ: 6.62 g cm⁻³

a b c (Å): 4.8655 4.8655 3.5412
angles (deg): 90.00 90.00 90.00
Last column: nearest neighbours and their distance in Å.
Sites, in units of the cell vectors:
Ge (0.0000, 0.0000, 0.0000)  2 O 1.77
P (0.0000, 0.5000, 0.0000)  2 Ge 2.43
P (0.5000, 0.0000, 0.0000)  2 Ge 2.43
W (0.5000, 0.5000, 0.5000)  8 P 3.01
O (0.0000, 0.0000, 0.5000)  2 Ge 1.77